Record 1
KMgCCl2: optimized geometry, GGA-PBE.

abc: 4.935 4.935 5.348
angles: 90.00 90.00 90.00
Fractional coordinates of all 5 atoms:
K1 0.000 0.000 0.000
Mg1 0.500 0.500 0.000
C1 0.000 0.000 0.500
Cl1 0.000 0.500 0.500
Cl2 0.500 0.000 0.500

Computed properties:
Mass density in kg/m³: 1866
V in Å³/f.u.: 130
VASP energy in eV per cell: -12.076
Formation energy (no corrections) in meV/atom: 707


Record 2
Zn2In: optimized geometry, GGA-PBE.

abc: 7.353 7.353 4.949
angles: 90.00 90.00 154.31
Fractional coordinates of all 6 atoms:
Zn1 0.058 0.942 0.750
Zn2 0.283 0.717 0.250
Zn3 0.717 0.283 0.750
Zn4 0.942 0.058 0.250
In1 0.387 0.613 0.750
In2 0.613 0.387 0.250

Computed properties:
Mass density in kg/m³: 7035
V in Å³/f.u.: 58
VASP energy in eV per cell: -9.936
Formation enthalpy at 0 K in eV per atom: 0.11


The lowest VASP energy belongs to which entry?
KMgCCl2


Among the records above, which one has the highest VASP energy?
Zn2In


mass density of number 2 (Zn2In)?
7035 kg/m³